No. 1
# PBE LiTe2Pb, relaxed
# formation energy without anion corrections	-0.32	eV/atom
# total DFT energy (no corrections)	-26.3	eV per cell
# total magnetic moment	0.00	μB/f.u.
data_LiTe2Pb
_chemical_formula_sum 'Li2 Te4 Pb2'
_symmetry_space_group_name_H-M 'C m m m'
_symmetry_Int_Tables_number 65
_symmetry_space_group_name_Hall '-C 2 2'
_cell_length_a 4.6091
_cell_length_b 5.7745
_cell_length_c 8.4713
_cell_angle_alpha 90.00
_cell_angle_beta 90.00
_cell_angle_gamma 90.00
loop_
_atom_site_label
_atom_site_fract_x
_atom_site_fract_y
_atom_site_fract_z
Li1 0.0000 0.0000 0.0000
Te1 0.0000 0.5000 0.2266
Pb1 0.0000 0.0000 0.5000

---

No. 2
# PBE LiTe2Pb, relaxed
# formation energy without anion corrections	-0.42	eV/atom
# total DFT energy (no corrections)	-27.2	eV per cell
# total magnetic moment	0.00	μB/f.u.
data_LiTe2Pb
_chemical_formula_sum 'Li2 Te4 Pb2'
_symmetry_space_group_name_H-M 'C 1 m 1'
_symmetry_Int_Tables_number 8
_symmetry_space_group_name_Hall 'C -2y'
_cell_length_a 15.0785
_cell_length_b 3.6623
_cell_length_c 4.5764
_cell_angle_alpha 90.00
_cell_angle_beta 90.02
_cell_angle_gamma 90.00
loop_
_atom_site_label
_atom_site_fract_x
_atom_site_fract_y
_atom_site_fract_z
Li1 0.0000 0.0000 0.0000
Te1 0.1866 0.0000 0.9987
Te2 0.4561 0.0000 0.4995
Pb1 0.2802 0.5000 0.4987

---

No. 3
# PBE LiTe2Pb, relaxed
# formation energy without anion corrections	-0.07	eV/atom
# total DFT energy (no corrections)	-48.7	eV per cell
# total magnetic moment	0.00	μB/f.u.
data_LiTe2Pb
_chemical_formula_sum 'Li4 Te8 Pb4'
_symmetry_space_group_name_H-M 'F -4 3 m'
_symmetry_Int_Tables_number 216
_symmetry_space_group_name_Hall 'F -4 2 3'
_cell_length_a 7.7083
_cell_length_b 7.7083
_cell_length_c 7.7083
_cell_angle_alpha 90.00
_cell_angle_beta 90.00
_cell_angle_gamma 90.00
loop_
_atom_site_label
_atom_site_fract_x
_atom_site_fract_y
_atom_site_fract_z
Li1 0.0000 0.0000 0.0000
Te1 0.0000 0.0000 0.5000
Te2 0.2500 0.2500 0.7500
Pb1 0.2500 0.2500 0.2500

---

No. 4
# PBE Li2Te2Pb, relaxed
# energy above the lowest structure with this stoichiometry	49.0	meV/atom
# formation energy without anion corrections	-0.58	eV/atom
# total DFT energy (no corrections)	-33.4	eV per cell
# total magnetic moment	0.00	μB/f.u.
data_Li2Te2Pb
_chemical_formula_sum 'Li4 Te4 Pb2'
_symmetry_space_group_name_H-M 'P 4/m b m'
_symmetry_Int_Tables_number 127
_symmetry_space_group_name_Hall '-P 4 2ab'
_cell_length_a 8.7090
_cell_length_b 8.7090
_cell_length_c 3.4504
_cell_angle_alpha 90.00
_cell_angle_beta 90.00
_cell_angle_gamma 90.00
loop_
_atom_site_label
_atom_site_fract_x
_atom_site_fract_y
_atom_site_fract_z
Li1 0.1297 0.3703 0.0000
Te1 0.1663 0.6663 0.5000
Pb1 0.0000 0.0000 0.5000

---

No. 5
# PBE LiTe3Pb, relaxed
# energy above the lowest structure with this stoichiometry	0.0	meV/atom
# formation energy without anion corrections	0.00	eV/atom
# total DFT energy (no corrections)	-15.0	eV per cell
# total magnetic moment	0.00	μB/f.u.
data_LiTe3Pb
_chemical_formula_sum 'Li1 Te3 Pb1'
_symmetry_space_group_name_H-M 'P m -3 m'
_symmetry_Int_Tables_number 221
_symmetry_space_group_name_Hall '-P 4 2 3'
_cell_length_a 5.2247
_cell_length_b 5.2247
_cell_length_c 5.2247
_cell_angle_alpha 90.00
_cell_angle_beta 90.00
_cell_angle_gamma 90.00
loop_
_atom_site_label
_atom_site_fract_x
_atom_site_fract_y
_atom_site_fract_z
Li1 0.0000 0.0000 0.0000
Te1 0.0000 0.0000 0.5000
Pb1 0.5000 0.5000 0.5000

---

No. 6
# PBE LiTe2Pb, relaxed
# formation energy without anion corrections	-0.36	eV/atom
# total DFT energy (no corrections)	-26.7	eV per cell
# total magnetic moment	0.00	μB/f.u.
data_LiTe2Pb
_chemical_formula_sum 'Li2 Te4 Pb2'
_symmetry_space_group_name_H-M 'C 1 2/m 1'
_symmetry_Int_Tables_number 12
_symmetry_space_group_name_Hall '-C 2y'
_cell_length_a 6.7401
_cell_length_b 8.3500
_cell_length_c 4.1928
_cell_angle_alpha 90.00
_cell_angle_beta 98.91
_cell_angle_gamma 90.00
loop_
_atom_site_label
_atom_site_fract_x
_atom_site_fract_y
_atom_site_fract_z
Li1 0.0000 0.0000 0.0000
Te1 0.2500 0.2500 0.5000
Pb1 0.0000 0.5000 0.0000